No. 1
Material: Li2AlZn
Method: DFT, PBE
State: relaxed

Space group: I-42d
Calculated total energy in eV for the cell shown: -16.91
E_form in eV per atom: 0.10
Mass density in Mg/m³: 2.55
Size of the total moment in μB/atom: 0.000

```
Li2AlZn
1.0
7.247 0.000 0.000
0.000 7.247 0.000
3.624 3.624 2.639
Zn Li Al
2 4 2
direct
0.750 0.250 0.500 Zn
0.000 0.000 0.000 Zn
0.375 0.358 0.750 Li
0.642 0.125 0.250 Li
0.108 0.625 0.250 Li
0.875 0.892 0.750 Li
0.500 0.500 0.000 Al
0.250 0.750 0.500 Al
```

No. 2
Material: LiAl2Zn
Method: DFT, PBE
State: relaxed

Space group: Pmm2
Calculated total energy in eV for the cell shown: -11.04
E_form in eV per atom: -0.09
Mass density in Mg/m³: 3.31
Size of the total moment in μB/atom: 0.000

```
LiAl2Zn
1.0
-1.853 1.490 -1.600
-0.823 -3.266 -2.087
-4.095 -1.252 3.576
Al Li Zn
2 1 1
direct
0.000 0.000 0.000 Al
0.500 0.500 0.251 Al
0.000 0.000 0.505 Li
0.500 0.500 0.745 Zn
```

No. 3
Material: Li2Al2Zn
Method: DFT, PBE
State: relaxed

Space group: Ibam
Calculated total energy in eV for the cell shown: -25.75
E_form in eV per atom: -0.06
Mass density in Mg/m³: 2.49
Offset from the most stable computed form in eV per formula unit: 0.40
Size of the total moment in μB/atom: 0.000

```
Li2Al2Zn
1.0
4.992 0.000 0.000
0.000 5.953 0.000
-2.496 -2.976 5.987
Al Li Zn
4 4 2
direct
0.919 0.774 0.838 Al
0.581 0.936 0.162 Al
0.081 0.226 0.162 Al
0.419 0.064 0.838 Al
0.319 0.514 0.637 Li
0.681 0.486 0.363 Li
0.819 0.123 0.637 Li
0.181 0.877 0.363 Li
0.750 0.500 0.000 Zn
0.250 0.500 0.000 Zn
```

No. 4
Material: Li2AlZn8
Method: DFT, PBE
State: relaxed

Space group: P4/mmm
Calculated total energy in eV for the cell shown: -18.51
E_form in eV per atom: -0.07
Mass density in Mg/m³: 5.47
Offset from the most stable computed form in eV per formula unit: 0.00
Size of the total moment in μB/atom: 0.000

```
Li2AlZn8
1.0
-3.793 1.416 1.121
-1.135 0.159 -4.042
-3.243 -9.128 0.553
Zn Li Al
8 2 1
direct
0.000 0.500 0.156 Zn
0.500 0.000 0.156 Zn
0.000 0.500 0.500 Zn
0.500 0.500 0.671 Zn
0.000 0.500 0.844 Zn
0.500 0.000 0.500 Zn
0.500 0.500 0.329 Zn
0.500 0.000 0.844 Zn
0.000 0.000 0.676 Li
0.000 0.000 0.324 Li
0.000 0.000 0.000 Al
```

No. 5
Material: LiAl2Zn
Method: DFT, PBE
State: relaxed

Space group: Pm
Calculated total energy in eV for the cell shown: -10.97
E_form in eV per atom: -0.07
Mass density in Mg/m³: 3.20
Size of the total moment in μB/atom: 0.000

```
LiAl2Zn
1.0
4.370 0.000 0.000
0.000 2.863 -0.049
0.000 1.446 5.213
Zn Li Al
1 1 2
direct
0.500 0.952 0.732 Zn
0.000 0.538 0.536 Li
0.000 0.806 0.015 Al
0.500 0.204 0.218 Al
```

No. 6
Material: LiAl2Zn8
Method: DFT, PBE
State: relaxed

Space group: C2/m
Calculated total energy in eV for the cell shown: -19.92
E_form in eV per atom: -0.03
Mass density in Mg/m³: 5.76
Size of the total moment in μB/atom: 0.000

```
LiAl2Zn8
1.0
3.906 0.000 0.000
0.000 6.324 0.440
-1.953 -2.069 6.677
Zn Li Al
8 1 2
direct
0.047 0.734 0.094 Zn
0.410 0.541 0.821 Zn
0.318 0.090 0.637 Zn
0.953 0.266 0.906 Zn
0.866 0.819 0.732 Zn
0.590 0.459 0.179 Zn
0.682 0.910 0.363 Zn
0.134 0.181 0.268 Zn
0.500 0.000 0.000 Li
0.770 0.357 0.539 Al
0.230 0.643 0.461 Al
```

No. 7
Material: Li2AlZn5
Method: DFT, PBE
State: relaxed

Space group: I4/mmm
Calculated total energy in eV for the cell shown: -15.06
E_form in eV per atom: -0.14
Mass density in Mg/m³: 5.13
Offset from the most stable computed form in eV per formula unit: 0.00
Size of the total moment in μB/atom: 0.000

```
Li2AlZn5
1.0
4.935 -0.516 -2.385
-2.871 4.645 -0.701
-0.319 0.516 5.472
Al Zn Li
1 5 2
direct
0.000 0.222 0.222 Al
0.000 0.222 0.722 Zn
0.500 0.722 0.722 Zn
0.000 0.722 0.222 Zn
0.500 0.222 0.222 Zn
0.000 0.722 0.722 Zn
0.500 0.222 0.722 Li
0.500 0.722 0.222 Li
```

No. 8
Material: LiAl6Zn2
Method: DFT, PBE
State: relaxed

Space group: C2/m
Calculated total energy in eV for the cell shown: -27.22
E_form in eV per atom: -0.03
Mass density in Mg/m³: 3.42
Size of the total moment in μB/atom: 0.000

```
LiAl6Zn2
1.0
3.934 0.000 -1.176
-0.613 5.944 -2.050
-0.265 0.079 6.278
Al Li Zn
6 1 2
direct
0.390 0.834 0.780 Al
0.610 0.166 0.220 Al
0.722 0.833 0.444 Al
0.278 0.167 0.556 Al
0.833 0.498 0.666 Al
0.167 0.502 0.334 Al
0.500 0.500 0.000 Li
0.945 0.171 0.891 Zn
0.055 0.829 0.109 Zn
```

No. 9
Material: Li4AlZn
Method: DFT, PBE
State: relaxed

Space group: P2/m
Calculated total energy in eV for the cell shown: -13.25
E_form in eV per atom: -0.10
Mass density in Mg/m³: 2.01
Offset from the most stable computed form in eV per formula unit: 0.29
Size of the total moment in μB/atom: 0.000

```
Li4AlZn
1.0
3.567 0.000 0.000
0.000 6.891 0.869
0.000 0.729 4.136
Li Zn Al
4 1 1
direct
0.000 0.690 0.652 Li
0.000 0.310 0.348 Li
0.500 0.680 0.158 Li
0.500 0.320 0.842 Li
0.500 0.000 0.500 Zn
0.000 0.000 0.000 Al
```

No. 10
Material: LiAlZn4
Method: DFT, PBE
State: relaxed

Space group: P-1
Calculated total energy in eV for the cell shown: -22.23
E_form in eV per atom: -0.06
Mass density in Mg/m³: 5.27
Offset from the most stable computed form in eV per formula unit: 0.09
Size of the total moment in μB/atom: 0.000

```
LiAlZn4
1.0
-0.572 -4.487 -0.114
0.691 1.728 4.769
-8.309 1.189 3.333
Zn Al Li
8 2 2
direct
0.472 0.438 0.701 Zn
0.528 0.562 0.299 Zn
0.221 0.939 0.950 Zn
0.972 0.438 0.201 Zn
0.028 0.562 0.799 Zn
0.721 0.939 0.450 Zn
0.779 0.061 0.050 Zn
0.279 0.061 0.550 Zn
0.500 0.500 0.000 Al
0.000 0.500 0.500 Al
0.250 0.000 0.250 Li
0.750 0.000 0.750 Li
```

No. 11
Material: LiAl3Zn6
Method: DFT, PBE
State: relaxed

Space group: P2_1/m
Calculated total energy in eV for the cell shown: -41.12
E_form in eV per atom: 0.02
Mass density in Mg/m³: 4.80
Size of the total moment in μB/atom: 0.000

```
LiAl3Zn6
1.0
2.814 0.000 0.000
0.000 11.738 0.046
0.000 -3.878 10.037
Zn Al Li
12 6 2
direct
0.750 0.753 0.237 Zn
0.750 0.792 0.658 Zn
0.250 0.208 0.342 Zn
0.250 0.875 0.479 Zn
0.750 0.347 0.014 Zn
0.750 0.125 0.521 Zn
0.750 0.566 0.627 Zn
0.250 0.653 0.986 Zn
0.250 0.247 0.763 Zn
0.250 0.434 0.373 Zn
0.750 0.852 0.052 Zn
0.250 0.148 0.948 Zn
0.250 0.913 0.878 Al
0.250 0.535 0.172 Al
0.750 0.087 0.122 Al
0.750 0.637 0.411 Al
0.750 0.465 0.828 Al
0.250 0.363 0.589 Al
0.250 0.970 0.284 Li
0.750 0.030 0.716 Li
```

No. 12
Material: LiAl2Zn
Method: DFT, PBE
State: relaxed

Space group: F-43m
Calculated total energy in eV for the cell shown: -10.84
E_form in eV per atom: -0.04
Mass density in Mg/m³: 3.28
Size of the total moment in μB/atom: 0.000

```
LiAl2Zn
1.0
4.488 0.000 0.000
2.244 3.887 0.000
2.244 1.296 3.665
Li Zn Al
1 1 2
direct
0.500 0.500 0.500 Li
0.750 0.750 0.750 Zn
0.250 0.250 0.250 Al
0.000 0.000 0.000 Al
```